1.
Below is ErAg2Hg2 after structural relaxation, with properties calculated at the PBE-GGA level.

Cell lengths 5.9250, 5.9250, 8.2697 Å; angles 111.21, 111.21, 54.35 degrees
Last column: nearest neighbours and their distance in Å.
Fractional positions:
1 Er 0.1898 0.8102 0.7500  6 Hg 3.09-3.20, 6 Ag 3.11-3.18
2 Er 0.8102 0.1898 0.2500  6 Hg 3.09-3.20, 6 Ag 3.11-3.18
3 Ag 0.2107 0.5771 0.0456  2 Ag 2.90-3.21, 5 Hg 2.93-3.15, 3 Er 3.11-3.18
4 Ag 0.4229 0.7893 0.4544  2 Ag 2.90-3.21, 5 Hg 2.93-3.15, 3 Er 3.11-3.18
5 Ag 0.5771 0.2107 0.5456  2 Ag 2.90-3.21, 5 Hg 2.93-3.15, 3 Er 3.11-3.18
6 Ag 0.7893 0.4229 0.9544  2 Ag 2.90-3.21, 5 Hg 2.93-3.15, 3 Er 3.11-3.18
7 Hg 0.0081 0.6175 0.3499  5 Ag 2.93-3.15, 3 Er 3.09-3.20, 2 Hg 3.17
8 Hg 0.3825 0.9919 0.1501  5 Ag 2.93-3.15, 3 Er 3.09-3.20, 2 Hg 3.17
9 Hg 0.6175 0.0081 0.8499  5 Ag 2.93-3.15, 3 Er 3.09-3.20, 2 Hg 3.17
10 Hg 0.9919 0.3825 0.6501  5 Ag 2.93-3.15, 3 Er 3.09-3.20, 2 Hg 3.17

The value obtained for the density of states at the Fermi level is 0.26 states/eV/atom. For the formation energy from the elements, the calculation gives -0.186 eV/atom.


2.
Below is Er5Ag2Hg12 after structural relaxation, with properties calculated at the PBE-GGA level.

Cell lengths 8.3570, 8.3570, 7.3341 Å; angles 92.18, 92.18, 63.67 degrees
Last column: nearest neighbours and their distance in Å.
Fractional positions:
1 Er 0.0000 0.0000 0.0000  10 Hg 3.15-3.46
2 Er 0.2545 0.2545 0.9364  10 Hg 3.10-3.28
3 Er 0.3221 0.3221 0.4542  8 Hg 3.09-3.36, 2 Ag 3.23
4 Er 0.6779 0.6779 0.5458  8 Hg 3.09-3.36, 2 Ag 3.23
5 Er 0.7455 0.7455 0.0636  10 Hg 3.10-3.28
6 Ag 0.2724 0.7276 0.5000  8 Hg 2.94-3.04, 2 Er 3.23
7 Ag 0.7276 0.2724 0.5000  8 Hg 2.94-3.04, 2 Er 3.23
8 Hg 0.0364 0.6356 0.7375  1 Ag 3.04, 4 Hg 3.10-3.24, 4 Er 3.14-3.36
9 Hg 0.1119 0.1119 0.5905  2 Ag 2.94, 4 Hg 3.04-3.10, 2 Er 3.17-3.19
10 Hg 0.1522 0.6113 0.1518  1 Ag 2.99, 4 Hg 3.03-3.24, 4 Er 3.10-3.15
11 Hg 0.3644 0.9636 0.2625  1 Ag 3.04, 4 Hg 3.10-3.24, 4 Er 3.14-3.36
12 Hg 0.3887 0.8478 0.8482  1 Ag 2.99, 4 Hg 3.03-3.24, 4 Er 3.10-3.15
13 Hg 0.4604 0.4604 0.7914  2 Ag 3.00, 5 Hg 3.03-3.21, 2 Er 3.09-3.16
14 Hg 0.5396 0.5396 0.2086  2 Ag 3.00, 5 Hg 3.03-3.21, 2 Er 3.09-3.16
15 Hg 0.6113 0.1522 0.1518  1 Ag 2.99, 4 Hg 3.03-3.24, 4 Er 3.10-3.15
16 Hg 0.6356 0.0364 0.7375  1 Ag 3.04, 4 Hg 3.10-3.24, 4 Er 3.14-3.36
17 Hg 0.8478 0.3887 0.8482  1 Ag 2.99, 4 Hg 3.03-3.24, 4 Er 3.10-3.15
18 Hg 0.8881 0.8881 0.4095  2 Ag 2.94, 4 Hg 3.04-3.10, 2 Er 3.17-3.19
19 Hg 0.9636 0.3644 0.2625  1 Ag 3.04, 4 Hg 3.10-3.24, 4 Er 3.14-3.36

The value obtained for the density of states at the Fermi level is 0.54 states/eV/atom. For the formation energy from the elements, the calculation gives -0.239 eV/atom.


3.
Below is Er2Ag3Hg4 after structural relaxation, with properties calculated at the PBE-GGA level.

Cell lengths 8.3132, 8.3132, 8.7939 Å; angles 90.00, 90.00, 137.40 degrees
Last column: nearest neighbours and their distance in Å.
Fractional positions:
1 Er 0.1183 0.8817 0.9353  7 Hg 3.19-3.40, 4 Ag 3.32-3.54
2 Er 0.3817 0.6183 0.4353  7 Hg 3.19-3.40, 4 Ag 3.32-3.54
3 Er 0.6183 0.3817 0.5647  7 Hg 3.19-3.40, 4 Ag 3.32-3.54
4 Er 0.8817 0.1183 0.0647  7 Hg 3.19-3.40, 4 Ag 3.32-3.54
5 Ag 0.0000 0.0000 0.5000  6 Hg 2.73-2.83
6 Ag 0.0274 0.4726 0.7500  5 Hg 2.86-2.96, 2 Ag 3.02
7 Ag 0.4726 0.0274 0.2500  5 Hg 2.86-2.96, 2 Ag 3.02
8 Ag 0.5000 0.5000 0.0000  6 Hg 2.73-2.83
9 Ag 0.5274 0.9726 0.7500  5 Hg 2.86-2.96, 2 Ag 3.02
10 Ag 0.9726 0.5274 0.2500  5 Hg 2.86-2.96, 2 Ag 3.02
11 Hg 0.1819 0.8181 0.5310  5 Ag 2.83-2.96
12 Hg 0.2137 0.2863 0.7500  3 Ag 2.73-2.88, 2 Hg 3.02
13 Hg 0.2863 0.2137 0.2500  3 Ag 2.73-2.88, 2 Hg 3.02
14 Hg 0.3181 0.6819 0.0310  5 Ag 2.83-2.96
15 Hg 0.6819 0.3181 0.9690  5 Ag 2.83-2.96
16 Hg 0.7137 0.7863 0.7500  3 Ag 2.73-2.88, 2 Hg 3.02
17 Hg 0.7863 0.7137 0.2500  3 Ag 2.73-2.88, 2 Hg 3.02
18 Hg 0.8181 0.1819 0.4690  5 Ag 2.83-2.96

The value obtained for the density of states at the Fermi level is 0.42 states/eV/atom. For the formation energy from the elements, the calculation gives -0.165 eV/atom.


4.
Below is Er2Ag3Hg2 after structural relaxation, with properties calculated at the PBE-GGA level.

Cell lengths 10.4771, 10.4771, 3.3139 Å; angles 90.00, 90.00, 154.72 degrees
Last column: nearest neighbours and their distance in Å.
Fractional positions:
1 Er 0.1466 0.8534 0.0000  5 Ag 3.00-3.26, 4 Hg 3.10, 2 Er 3.31
2 Er 0.8534 0.1466 0.0000  5 Ag 3.00-3.26, 4 Hg 3.10, 2 Er 3.31
3 Ag 0.0000 0.0000 0.0000  2 Er 3.00, 10 Ag 3.14-3.31
4 Ag 0.4331 0.5669 0.5000  1 Ag 2.74, 1 Hg 2.89
5 Ag 0.5669 0.4331 0.5000  1 Ag 2.74, 1 Hg 2.89
6 Hg 0.2916 0.7084 0.5000  2 Hg 2.86, 1 Ag 2.89, 4 Er 3.10
7 Hg 0.7084 0.2916 0.5000  2 Hg 2.86, 1 Ag 2.89, 4 Er 3.10

The value obtained for the density of states at the Fermi level is 0.46 states/eV/atom. For the formation energy from the elements, the calculation gives -0.188 eV/atom.


Question: Which formula does entry 1 have?
Answer: ErAg2Hg2